An optimized crystal structure of BiHCl4. Source: the Alexandria database, functional PBE.

Computed properties:
space group	C2/c (15)
VASP energy	-3.21	eV per atom
spin magnetization	0.00	Bohr magnetons per cell
N(E_F)	0.0	states/eV per cell

abc: 7.4776 7.4776 6.7715
angles: 102.96 102.96 116.32
Closest atoms and distances in Å follow each position.
Sites, in units of the cell vectors:
Bi1 0.1037 0.8963 0.7500  4 Cl 2.65-2.81
Bi2 0.8963 0.1037 0.2500  4 Cl 2.65-2.81
H1 0.2635 0.7365 0.2500  2 Cl 1.56
H2 0.7365 0.2635 0.7500  2 Cl 1.56
Cl1 0.1666 0.6316 0.4039  1 H 1.56
Cl2 0.1819 0.2533 0.0360  2 Bi 2.65-2.81
Cl3 0.2533 0.1819 0.5360  2 Bi 2.65-2.81
Cl4 0.3684 0.8334 0.0961  1 H 1.56
Cl5 0.6316 0.1666 0.9039  1 H 1.56
Cl6 0.7467 0.8181 0.4640  2 Bi 2.65-2.81
Cl7 0.8181 0.7467 0.9640  2 Bi 2.65-2.81
Cl8 0.8334 0.3684 0.5961  1 H 1.56

An optimized crystal structure of NaAcTe2. Source: the Alexandria database, functional PBE.

Computed properties:
space group	Fm-3m (225)
VASP energy	-4.19	eV per atom
spin magnetization	0.00	Bohr magnetons per cell

abc: 5.6812 5.6812 5.6812
angles: 60.00 60.00 60.00
Closest atoms and distances in Å follow each position.
Sites, in units of the cell vectors:
Na1 0.0000 0.0000 0.0000  8 Te 3.48
Ac1 0.5000 0.5000 0.5000  8 Te 3.48
Te1 0.2500 0.2500 0.2500  4 Ac 3.48, 4 Na 3.48
Te2 0.7500 0.7500 0.7500  4 Ac 3.48, 4 Na 3.48

An optimized crystal structure of GeBi2Pb2. Source: the Alexandria database, functional PBE.

Computed properties:
DFT formation energy	0.308	eV per atom
space group	P4/mbm (127)
spin magnetization	0.00	Bohr magnetons per cell
N(E_F)	6.9	states/eV per cell

abc: 7.8723 7.8723 5.1529
angles: 90.00 90.00 90.00
Closest atoms and distances in Å follow each position.
Sites, in units of the cell vectors:
Ge1 0.0000 0.0000 0.0000  4 Pb 2.99
Ge2 0.5000 0.5000 0.0000  4 Pb 2.99
Bi1 0.1426 0.3574 0.5000  1 Bi 3.18, 6 Pb 3.44-3.47
Bi2 0.3574 0.8574 0.5000  1 Bi 3.18, 6 Pb 3.44-3.47
Bi3 0.6426 0.1426 0.5000  1 Bi 3.18, 6 Pb 3.44-3.47
Bi4 0.8574 0.6426 0.5000  1 Bi 3.18, 6 Pb 3.44-3.47
Pb1 0.1526 0.6526 0.0000  2 Ge 2.99
Pb2 0.3474 0.1526 0.0000  2 Ge 2.99
Pb3 0.6526 0.8474 0.0000  2 Ge 2.99
Pb4 0.8474 0.3474 0.0000  2 Ge 2.99

An optimized crystal structure of CaTl3. Source: the Alexandria database, functional PBE.

Computed properties:
DFT formation energy	-0.100	eV per atom
space group	P-6m2 (187)
spin magnetization	0.00	Bohr magnetons per cell
N(E_F)	2.3	states/eV per cell

abc: 3.7860 3.7860 10.1409
angles: 90.00 90.00 120.00
Closest atoms and distances in Å follow each position.
Sites, in units of the cell vectors:
Ca1 0.0000 0.0000 0.0000  6 Tl 3.37
Tl1 0.0000 0.0000 0.5000  6 Tl 3.32
Tl2 0.6667 0.3333 0.2533  3 Tl 3.32, 3 Ca 3.37
Tl3 0.6667 0.3333 0.7467  3 Tl 3.32, 3 Ca 3.37